The following is a PBE calculation of Sr5Ac4 after structural relaxation, from Alexandria via LeMat-Bulk.

Cell: 10.2792 10.2792 10.2792 Å, 92.63 92.63 155.26°
Atoms (fractional coordinates):
Sr (0.0000, 0.0000, 0.0000)
Sr (0.3314, 0.3314, 0.6627)
Sr (0.3314, 0.6686, 0.0000)
Sr (0.6686, 0.3314, 0.0000)
Sr (0.6686, 0.6686, 0.3373)
Ac (0.0000, 0.3422, 0.3422)
Ac (0.0000, 0.6578, 0.6578)
Ac (0.3422, 0.0000, 0.3422)
Ac (0.6578, 0.0000, 0.6578)

Values from the calculation:
DFT total energy	-2.68	eV/atom
calculated volume	444.01	Å³/cell